1.
# TaTc3Pt (GGA-PBE, relaxed)
# Crystal system ... cubic
# Formation energy from the elements ... 1933 meV/atom
# Magnetization ... 0.0 μB/cell
# Energy above the lowest structure with this stoichiometry ... 131.6 meV/atom
data_TaTc3Pt
_symmetry_space_group_name_H-M 'P m -3 m'
_symmetry_Int_Tables_number 221
_symmetry_space_group_name_Hall '-P 4 2 3'
_cell_length_a 4.6688
_cell_length_b 4.6688
_cell_length_c 4.6688
_cell_angle_alpha 90.00
_cell_angle_beta 90.00
_cell_angle_gamma 90.00
loop_
_atom_site_label
_atom_site_type_symbol
_atom_site_fract_x
_atom_site_fract_y
_atom_site_fract_z
Ta1 Ta 0.0000 0.0000 0.0000
Tc1 Tc 0.0000 0.5000 0.5000
Pt1 Pt 0.5000 0.5000 0.5000

=====

2.
# TaTcPt2 (GGA-PBE, relaxed)
# Crystal system ... tetragonal
# Formation energy from the elements ... -342 meV/atom
# Magnetization ... 0.0 μB/cell
# Energy above the lowest structure with this stoichiometry ... 208.5 meV/atom
data_TaTcPt2
_symmetry_space_group_name_H-M 'P 4/m m m'
_symmetry_Int_Tables_number 123
_symmetry_space_group_name_Hall '-P 4 2'
_cell_length_a 2.7742
_cell_length_b 2.7742
_cell_length_c 8.1737
_cell_angle_alpha 90.00
_cell_angle_beta 90.00
_cell_angle_gamma 90.00
loop_
_atom_site_label
_atom_site_type_symbol
_atom_site_fract_x
_atom_site_fract_y
_atom_site_fract_z
Ta1 Ta 0.0000 0.0000 0.0000
Tc1 Tc 0.0000 0.0000 0.5000
Pt1 Pt 0.5000 0.5000 0.2530